# 1
# CoIr2W, optimized geometry, DFT PBE
# * DFT formation energy: -0.258 eV per atom
# * crystal system: orthorhombic
# * E: -155.24 eV for the cell shown
# * M_tot: 0.58 μB per formula unit
data_CoIr2W
_chemical_formula_sum 'Co4 Ir8 W4'
_cell_length_a 4.3135
_cell_length_b 5.4773
_cell_length_c 9.4032
_cell_angle_alpha 90.00
_cell_angle_beta 90.00
_cell_angle_gamma 90.00
_symmetry_space_group_name_H-M 'A m m 2'
_symmetry_Int_Tables_number 38
loop_
_symmetry_equiv_pos_as_xyz
'x,y,z'
'-x,-y,z'
'-x,y,z'
'x,-y,z'
'x,y+1/2,z+1/2'
'-x,-y+1/2,z+1/2'
'-x,y+1/2,z+1/2'
'x,-y+1/2,z+1/2'
loop_
_atom_site_label
_atom_site_type_symbol
_atom_site_fract_x
_atom_site_fract_y
_atom_site_fract_z
Co1 Co 0.0000 0.2483 0.0000
Ir1 Ir 0.0000 0.0000 0.2494
Ir2 Ir 0.5000 0.0000 0.5807
Ir3 Ir 0.5000 0.2497 0.3383
W1 W 0.0000 0.0000 0.7488
W2 W 0.5000 0.0000 0.0789


# 2
# RbZrAuSe3, optimized geometry, DFT PBE
# * crystal system: orthorhombic
# * E: -115.45 eV for the cell shown
# * M_tot: 0.00 μB per formula unit
data_RbZrAuSe3
_chemical_formula_sum 'Rb4 Zr4 Au4 Se12'
_cell_length_a 9.4638
_cell_length_b 3.9938
_cell_length_c 17.1664
_cell_angle_alpha 90.00
_cell_angle_beta 90.00
_cell_angle_gamma 90.00
_symmetry_space_group_name_H-M 'P n m a'
_symmetry_Int_Tables_number 62
loop_
_symmetry_equiv_pos_as_xyz
'x,y,z'
'-x,-y,-z'
'-x+1/2,-y,z+1/2'
'x+1/2,y,-z+1/2'
'x+1/2,-y+1/2,-z+1/2'
'-x+1/2,y+1/2,z+1/2'
'-x,y+1/2,-z'
'x,-y+1/2,z'
loop_
_atom_site_label
_atom_site_type_symbol
_atom_site_fract_x
_atom_site_fract_y
_atom_site_fract_z
Rb1 Rb 0.0768 0.2500 0.1544
Zr1 Zr 0.1813 0.7500 0.4338
Au1 Au 0.0674 0.2500 0.6814
Se1 Se 0.0327 0.7500 0.5812
Se2 Se 0.1684 0.7500 0.9931
Se3 Se 0.2433 0.2500 0.7914


# 3
# PmNiSb, optimized geometry, DFT PBE
# * crystal system: cubic
# * E: -57.26 eV for the cell shown
# * M_tot: 0.55 μB per formula unit
data_PmNiSb
_chemical_formula_sum 'Pm4 Ni4 Sb4'
_cell_length_a 6.8981
_cell_length_b 6.8981
_cell_length_c 6.8981
_cell_angle_alpha 90.00
_cell_angle_beta 90.00
_cell_angle_gamma 90.00
_symmetry_space_group_name_H-M 'F -4 3 m'
_symmetry_Int_Tables_number 216
_symmetry_space_group_name_Hall 'F -4 2 3'
loop_
_atom_site_label
_atom_site_type_symbol
_atom_site_fract_x
_atom_site_fract_y
_atom_site_fract_z
Pm1 Pm 0.0000 0.0000 0.0000
Ni1 Ni 0.2500 0.2500 0.7500
Sb1 Sb 0.2500 0.2500 0.2500


# 4
# La3Ta2Te6, optimized geometry, DFT PBE
# * crystal system: tetragonal
# * E: -134.13 eV for the cell shown
# * M_tot: 0.01 μB per formula unit
data_La3Ta2Te6
_chemical_formula_sum 'La6 Ta4 Te12'
_cell_length_a 5.1839
_cell_length_b 5.1839
_cell_length_c 25.6628
_cell_angle_alpha 90.00
_cell_angle_beta 90.00
_cell_angle_gamma 90.00
_symmetry_space_group_name_H-M 'I 4/m m m'
_symmetry_Int_Tables_number 139
_symmetry_space_group_name_Hall '-I 4 2'
loop_
_atom_site_label
_atom_site_type_symbol
_atom_site_fract_x
_atom_site_fract_y
_atom_site_fract_z
La1 La 0.0000 0.0000 0.0000
La2 La 0.0000 0.0000 0.1752
Ta1 Ta 0.0000 0.0000 0.4524
Te1 Te 0.0000 0.0000 0.2974
Te2 Te 0.0000 0.5000 0.0860


# 5
# LiHoGe, optimized geometry, DFT PBE
# * crystal system: hexagonal
# * E: -26.32 eV for the cell shown
# * M_tot: 0.00 μB per formula unit
data_LiHoGe
_chemical_formula_sum 'Li2 Ho2 Ge2'
_cell_length_a 4.3799
_cell_length_b 4.3799
_cell_length_c 7.1118
_cell_angle_alpha 90.00
_cell_angle_beta 90.00
_cell_angle_gamma 120.00
_symmetry_space_group_name_H-M 'P 63/m m c'
_symmetry_Int_Tables_number 194
_symmetry_space_group_name_Hall '-P 6c 2c'
loop_
_atom_site_label
_atom_site_type_symbol
_atom_site_fract_x
_atom_site_fract_y
_atom_site_fract_z
Li1 Li 0.3333 0.6667 0.2500
Ho1 Ho 0.0000 0.0000 0.0000
Ge1 Ge 0.3333 0.6667 0.7500


# 6
# LiMg2Cd3, optimized geometry, DFT PBE
# * crystal system: tetragonal
# * E: -8.71 eV for the cell shown
data_LiMg2Cd3
_chemical_formula_sum 'Li1 Mg2 Cd3'
_cell_length_a 3.3204
_cell_length_b 3.3204
_cell_length_c 10.8695
_cell_angle_alpha 90.00
_cell_angle_beta 90.00
_cell_angle_gamma 90.00
_symmetry_space_group_name_H-M 'P 4/m m m'
_symmetry_Int_Tables_number 123
_symmetry_space_group_name_Hall '-P 4 2'
loop_
_atom_site_label
_atom_site_type_symbol
_atom_site_fract_x
_atom_site_fract_y
_atom_site_fract_z
Li1 Li 0.0000 0.0000 0.0000
Mg1 Mg 0.0000 0.0000 0.3218
Cd1 Cd 0.5000 0.5000 0.1462
Cd2 Cd 0.5000 0.5000 0.5000


The lowest E belongs to which entry?
CoIr2W


Which formula does entry 3 have?
PmNiSb


E of number 1 (CoIr2W)?
-155.24 eV for the cell shown


Copy entry 3 word for word.
# PmNiSb, optimized geometry, DFT PBE
# * crystal system: cubic
# * E: -57.26 eV for the cell shown
# * M_tot: 0.55 μB per formula unit
data_PmNiSb
_chemical_formula_sum 'Pm4 Ni4 Sb4'
_cell_length_a 6.8981
_cell_length_b 6.8981
_cell_length_c 6.8981
_cell_angle_alpha 90.00
_cell_angle_beta 90.00
_cell_angle_gamma 90.00
_symmetry_space_group_name_H-M 'F -4 3 m'
_symmetry_Int_Tables_number 216
_symmetry_space_group_name_Hall 'F -4 2 3'
loop_
_atom_site_label
_atom_site_type_symbol
_atom_site_fract_x
_atom_site_fract_y
_atom_site_fract_z
Pm1 Pm 0.0000 0.0000 0.0000
Ni1 Ni 0.2500 0.2500 0.7500
Sb1 Sb 0.2500 0.2500 0.2500